VASP calculation (PBE) on a geometry-optimized Tl2AsPd8 structure.

abc: 7.881 7.881 5.859
angles: 111.66 111.66 34.26
Fractional coordinates of all 11 atoms:
1 Tl 0.182 0.182 0.182
2 Tl 0.818 0.818 0.818
3 As 0.500 0.500 0.500
4 Pd 0.000 0.000 0.258
5 Pd 0.000 0.000 0.742
6 Pd 0.184 0.184 0.684
7 Pd 0.364 0.364 0.108
8 Pd 0.364 0.364 0.620
9 Pd 0.636 0.636 0.380
10 Pd 0.636 0.636 0.892
11 Pd 0.816 0.816 0.316

For the density, the calculation gives 11.7 g cm⁻³. The calculation puts the total magnetization at 0.00 μB per formula unit. For the calculated volume, the calculation gives 189.0 Å³/cell. For the formation energy, the calculation gives -2.49 eV/f.u. Its crystal system is monoclinic.